BePdS2N | PBE | optimized geometry

* energy relative to the lowest polymorph listed for this composition: 571 meV/atom
* total energy: -3.944 eV/atom
* space group: No. 123

The structure in extended XYZ format:
```
5
Lattice="-2.756 2.636 3.011 -3.799 -0.573 -2.976 -0.951 -3.051 1.801" Properties=species:S:1:pos:R:3 pbc="T T T"
Be -3.753 -0.494 0.918
S -1.899 -0.286 -1.488
S -1.378 1.318 1.506
Pd 0.000 0.000 0.000
N -0.475 -1.526 0.900
```



BeSbPd2N | PBE | optimized geometry

* total energy: -5.457 eV/atom
* space group: No. 123

The structure in extended XYZ format:
```
5
Lattice="-4.706 -0.821 -0.019 0.325 -1.916 2.460 -0.656 3.690 2.961" Properties=species:S:1:pos:R:3 pbc="T T T"
Sb -2.518 0.476 2.701
Be 0.162 -0.958 1.230
Pd -0.328 1.845 1.481
Pd -2.353 -0.411 -0.009
N 0.000 0.000 0.000
```



BePdSeN2 | PBE | optimized geometry

* energy relative to the lowest polymorph listed for this composition: 0 meV/atom
* total energy: -4.707 eV/atom
* space group: No. 123

The structure in extended XYZ format:
```
5
Lattice="3.469 0.000 0.000 0.000 3.469 0.000 0.000 0.000 5.912" Properties=species:S:1:pos:R:3 pbc="T T T"
Be 0.000 0.000 0.000
Se 0.000 0.000 2.956
Pd 1.735 1.735 2.956
N 0.000 1.735 0.000
N 1.735 0.000 0.000
```



Number 1: raw formation energy 1156 meV per atom. Number 2: raw formation energy -145 meV per atom. Number 3: raw formation energy 1104 meV per atom.